1.
Material: Sm2Cu
Method: DFT, PBE-GGA
State: relaxed

Calculated values
For the total DFT energy (no corrections), the calculation gives -4.62 eV/atom. The density is 7.6 g cm⁻³. The calculated formation energy is -0.11 eV per atom. Its density of states at the Fermi level is 12.65 states/eV per cell. Its crystal system is monoclinic.

abc: 12.667 3.803 8.260
angles: 90.00 126.41 90.00
Space group C2/m (No. 12)
Inequivalent atoms, fractional coordinates:
Sm1 0.096 0.000 0.384 [4 per cell]
Sm2 0.158 0.500 0.064 [4 per cell]
Cu1 0.120 0.500 0.671 [4 per cell]

2.
Material: SmCu11
Method: DFT, PBE-GGA
State: relaxed

Calculated values
For the total DFT energy (no corrections), the calculation gives -4.23 eV/atom. The density is 8.5 g cm⁻³. The calculated formation energy is -0.08 eV per atom. Its density of states at the Fermi level is 16.23 states/eV per cell. Its crystal system is tetragonal.

abc: 10.030 10.030 6.573
angles: 90.00 90.00 90.00
Space group I4_1/amd (No. 141, origin choice 2)
Inequivalent atoms, fractional coordinates:
Sm1 0.000 0.250 0.375 [4 per cell]
Cu1 0.000 0.000 0.000 [8 per cell]
Cu2 0.000 0.250 0.875 [4 per cell]
Cu3 0.123 0.043 0.682 [32 per cell]

3.
Material: Sm3Cu
Method: DFT, PBE-GGA
State: relaxed

Calculated values
For the total DFT energy (no corrections), the calculation gives -4.64 eV/atom. The density is 7.6 g cm⁻³. The calculated formation energy is -0.08 eV per atom. Its density of states at the Fermi level is 16.67 states/eV per cell. Its crystal system is orthorhombic.

abc: 3.717 12.302 9.821
angles: 90.00 90.00 90.00
Space group Cmcm (No. 63)
Inequivalent atoms, fractional coordinates:
Sm1 0.000 0.068 0.250 [4 per cell]
Sm2 0.000 0.365 0.058 [8 per cell]
Cu1 0.000 0.240 0.750 [4 per cell]

4.
Material: Sm5Cu
Method: DFT, PBE-GGA
State: relaxed

Calculated values
For the total DFT energy (no corrections), the calculation gives -4.50 eV/atom. The density is 7.6 g cm⁻³. The calculated formation energy is 0.12 eV per atom. Its density of states at the Fermi level is 16.21 states/eV per cell. Its crystal system is orthorhombic.

abc: 4.730 15.167 4.971
angles: 90.00 90.00 90.00
Space group Cmmm (No. 65)
Inequivalent atoms, fractional coordinates:
Sm1 0.000 0.000 0.000 [2 per cell]
Sm2 0.000 0.158 0.500 [4 per cell]
Sm3 0.000 0.332 0.000 [4 per cell]
Cu1 0.000 0.500 0.500 [2 per cell]

5.
Material: Sm3Cu
Method: DFT, PBE-GGA
State: relaxed

Calculated values
For the total DFT energy (no corrections), the calculation gives -4.43 eV/atom. The density is 7.0 g cm⁻³. The calculated formation energy is 0.13 eV per atom. Its density of states at the Fermi level is 5.27 states/eV per cell. Its crystal system is orthorhombic.

abc: 3.586 3.662 9.286
angles: 90.00 90.00 90.00
Space group Pmm2 (No. 25)
Inequivalent atoms, fractional coordinates:
Sm1 0.000 0.000 0.000 [1 per cell]
Sm2 0.000 0.500 0.331 [1 per cell]
Sm3 0.500 0.500 0.721 [1 per cell]
Cu1 0.500 0.000 0.474 [1 per cell]

6.
Material: SmCu5
Method: DFT, PBE-GGA
State: relaxed

Calculated values
For the total DFT energy (no corrections), the calculation gives -4.37 eV/atom. The density is 8.4 g cm⁻³. The calculated formation energy is -0.17 eV per atom. Its density of states at the Fermi level is 4.32 states/eV per cell. Its crystal system is hexagonal.

abc: 5.0771 5.0771 4.1203
angles: 90.00 90.00 120.00
Space group P6/mmm (No. 191)
Inequivalent atoms, fractional coordinates:
Sm1 0.0000 0.0000 0.0000 [1 per cell]
Cu1 0.0000 0.5000 0.5000 [3 per cell]
Cu2 0.3333 0.6667 0.0000 [2 per cell]

7.
Material: Sm5Cu6
Method: DFT, PBE-GGA
State: relaxed

Calculated values
For the total DFT energy (no corrections), the calculation gives -4.41 eV/atom. The density is 7.2 g cm⁻³. The calculated formation energy is -0.03 eV per atom. Its density of states at the Fermi level is 19.75 states/eV per cell. Its crystal system is orthorhombic.

abc: 4.949 7.145 14.732
angles: 90.00 90.00 90.00
Space group Immm (No. 71)
Inequivalent atoms, fractional coordinates:
Sm1 0.000 0.000 0.000 [2 per cell]
Sm2 0.000 0.000 0.363 [4 per cell]
Sm3 0.000 0.500 0.322 [4 per cell]
Cu1 0.000 0.211 0.185 [8 per cell]
Cu2 0.000 0.305 0.500 [4 per cell]

8.
Material: Sm5Cu3
Method: DFT, PBE-GGA
State: relaxed

Calculated values
For the total DFT energy (no corrections), the calculation gives -4.60 eV/atom. The density is 7.7 g cm⁻³. The calculated formation energy is -0.12 eV per atom. Its density of states at the Fermi level is 7.34 states/eV per cell. Its crystal system is tetragonal.

abc: 3.548 3.548 16.072
angles: 90.00 90.00 90.00
Space group P4/mmm (No. 123)
Inequivalent atoms, fractional coordinates:
Sm1 0.000 0.000 0.000 [1 per cell]
Sm2 0.000 0.000 0.219 [2 per cell]
Sm3 0.500 0.500 0.390 [2 per cell]
Cu1 0.000 0.000 0.500 [1 per cell]
Cu2 0.500 0.500 0.110 [2 per cell]

9.
Material: Sm3Cu2
Method: DFT, PBE-GGA
State: relaxed

Calculated values
For the total DFT energy (no corrections), the calculation gives -4.61 eV/atom. The density is 7.8 g cm⁻³. The calculated formation energy is -0.14 eV per atom. Its density of states at the Fermi level is 7.61 states/eV per cell. Its crystal system is tetragonal.

abc: 3.548 3.548 19.598
angles: 90.00 90.00 90.00
Space group I4/mmm (No. 139)
Inequivalent atoms, fractional coordinates:
Sm1 0.000 0.000 0.000 [2 per cell]
Sm2 0.000 0.000 0.180 [4 per cell]
Cu1 0.000 0.000 0.410 [4 per cell]

10.
Material: Sm3Cu2
Method: DFT, PBE-GGA
State: relaxed

Calculated values
For the total DFT energy (no corrections), the calculation gives -4.61 eV/atom. The density is 7.8 g cm⁻³. The calculated formation energy is -0.14 eV per atom. Its density of states at the Fermi level is 7.23 states/eV per cell. Its crystal system is tetragonal.

abc: 3.553 3.553 19.462
angles: 90.00 90.00 90.00
Space group P4/mmm (No. 123)
Inequivalent atoms, fractional coordinates:
Sm1 0.000 0.000 0.000 [1 per cell]
Sm2 0.000 0.000 0.183 [2 per cell]
Sm3 0.000 0.000 0.364 [2 per cell]
Sm4 0.500 0.500 0.500 [1 per cell]
Cu1 0.500 0.500 0.092 [2 per cell]
Cu2 0.500 0.500 0.274 [2 per cell]

11.
Material: SmCu4
Method: DFT, PBE-GGA
State: relaxed

Calculated values
For the total DFT energy (no corrections), the calculation gives -4.33 eV/atom. The density is 8.2 g cm⁻³. The calculated formation energy is -0.11 eV per atom. Its density of states at the Fermi level is 17.93 states/eV per cell. Its crystal system is cubic.

abc: 8.694 8.694 8.694
angles: 90.00 90.00 90.00
Space group I-43m (No. 217)
Inequivalent atoms, fractional coordinates:
Sm1 0.215 0.215 0.785 [8 per cell]
Cu1 0.000 0.000 0.357 [12 per cell]
Cu2 0.000 0.250 0.500 [12 per cell]
Cu3 0.101 0.101 0.101 [8 per cell]

12.
Material: Sm3Cu11
Method: DFT, PBE-GGA
State: relaxed

Calculated values
For the total DFT energy (no corrections), the calculation gives -4.41 eV/atom. The density is 8.3 g cm⁻³. The calculated formation energy is -0.18 eV per atom. Its density of states at the Fermi level is 11.60 states/eV per cell. Its crystal system is orthorhombic.

abc: 4.206 8.824 12.345
angles: 90.00 90.00 90.00
Space group Immm (No. 71)
Inequivalent atoms, fractional coordinates:
Sm1 0.000 0.000 0.000 [2 per cell]
Sm2 0.000 0.000 0.306 [4 per cell]
Cu1 0.000 0.210 0.500 [4 per cell]
Cu2 0.000 0.280 0.121 [8 per cell]
Cu3 0.000 0.354 0.325 [8 per cell]
Cu4 0.000 0.500 0.000 [2 per cell]